(1)
This record from Alexandria describes crystalline Fe2P2O7 at its relaxed geometry. The functional is GGA+U.

space group	P-1 (2)
uncorrected energy	-78.97	eV/cell

The structure in CIF format:
```
data_Fe2P2O7
_cell_length_a 4.560
_cell_length_b 5.323
_cell_length_c 5.570
_cell_angle_alpha 103.84
_cell_angle_beta 98.04
_cell_angle_gamma 99.00
_symmetry_space_group_name_H-M 'P 1'
_symmetry_Int_Tables_number 1
_symmetry_space_group_name_Hall 'P 1'
loop_
_atom_site_label
_atom_site_type_symbol
_atom_site_fract_x
_atom_site_fract_y
_atom_site_fract_z
Fe1 Fe 0.017 0.181 0.302
Fe2 Fe 0.983 0.819 0.698
P1 P 0.408 0.715 0.213
P2 P 0.592 0.285 0.787
O1 O 0.222 0.876 0.080
O2 O 0.225 0.565 0.364
O3 O 0.289 0.120 0.630
O4 O 0.500 0.500 0.000
O5 O 0.711 0.880 0.370
O6 O 0.775 0.435 0.636
O7 O 0.778 0.124 0.920
```

---

(2)
This record from Alexandria describes crystalline FeP2O2 at its relaxed geometry. The functional is GGA+U.

space group	P4/mmm (123)
relative energy among the computed polymorphs	0.374	eV/atom

The structure in CIF format:
```
data_FeP2O2
_cell_length_a 3.578
_cell_length_b 3.578
_cell_length_c 5.969
_cell_angle_alpha 90.00
_cell_angle_beta 90.00
_cell_angle_gamma 90.00
_symmetry_space_group_name_H-M 'P 1'
_symmetry_Int_Tables_number 1
_symmetry_space_group_name_Hall 'P 1'
loop_
_atom_site_label
_atom_site_type_symbol
_atom_site_fract_x
_atom_site_fract_y
_atom_site_fract_z
Fe1 Fe 0.000 0.000 0.000
P1 P 0.000 0.000 0.500
P2 P 0.500 0.500 0.500
O1 O 0.000 0.500 0.000
O2 O 0.500 0.000 0.000
```